# LiMnAs2Br

Crystalline LiMnAs2Br at its relaxed geometry (GGA-PBE, Alexandria via LeMat-Bulk).

Results
Formation energy (no corrections) ... -0.09 eV per atom
Magnetization ... 2.57 μB per formula unit
DFT total energy ... -4.51 eV/atom
Space-group type ... P4/mmm, No. 123

a b c (Å): 4.5181 4.5181 6.5319
angles (deg): 90.00 90.00 90.00
Atoms (fractional coordinates):
1 As 0.0000 0.5000 0.0000
2 As 0.5000 0.0000 0.0000
3 Mn 0.0000 0.0000 0.0000
4 Br 0.0000 0.0000 0.5000
5 Li 0.5000 0.5000 0.5000